A relaxed LuAgGe crystal, computed with PBE-GGA.

Lattice parameters (Å, degrees): 7.064 7.064 4.165 90.00 90.00 120.00
Sites, in units of the cell vectors:
Lu: 0.000 0.583 0.000
Lu: 0.417 0.417 0.000
Lu: 0.583 0.000 0.000
Ag: 0.000 0.252 0.500
Ag: 0.252 0.000 0.500
Ag: 0.748 0.748 0.500
Ge: 0.000 0.000 0.000
Ge: 0.333 0.667 0.500
Ge: 0.667 0.333 0.500

Computed properties:
Space group: No. 189

A relaxed LuAgGe crystal, computed with PBE-GGA.

Lattice parameters (Å, degrees): 4.519 4.519 3.398 90.00 90.00 120.00
Sites, in units of the cell vectors:
Lu: 0.000 0.000 0.000
Ag: 0.333 0.667 0.500
Ge: 0.667 0.333 0.499

Computed properties:
Space group: No. 156

A relaxed LuAg2Ge crystal, computed with PBE-GGA.

Lattice parameters (Å, degrees): 4.116 4.116 4.706 90.00 90.00 90.00
Sites, in units of the cell vectors:
Lu: 0.000 0.000 0.000
Ag: 0.000 0.500 0.500
Ag: 0.500 0.000 0.500
Ge: 0.500 0.500 0.000

Computed properties:
Space group: No. 123
Energy above the most stable polymorph in this dataset in meV/atom: 0.0

A relaxed LuAgGe2 crystal, computed with PBE-GGA.

Lattice parameters (Å, degrees): 4.361 4.361 4.076 90.00 90.00 90.00
Sites, in units of the cell vectors:
Lu: 0.000 0.000 0.000
Ag: 0.500 0.500 0.000
Ge: 0.000 0.500 0.500
Ge: 0.500 0.000 0.500

Computed properties:
Space group: No. 123

A relaxed NaLuAgGe crystal, computed with PBE-GGA.

Lattice parameters (Å, degrees): 4.934 4.934 4.934 60.00 60.00 60.00
Sites, in units of the cell vectors:
Na: 0.000 0.000 0.000
Lu: 0.500 0.500 0.500
Ag: 0.250 0.250 0.250
Ge: 0.750 0.750 0.750

Computed properties:
Space group: No. 216

A relaxed NdLuAgGe crystal, computed with PBE-GGA.

Lattice parameters (Å, degrees): 5.121 5.121 5.121 60.00 60.00 60.00
Sites, in units of the cell vectors:
Nd: 0.000 0.000 0.000
Lu: 0.500 0.500 0.500
Ag: 0.250 0.250 0.250
Ge: 0.750 0.750 0.750

Computed properties:
Space group: No. 216

A relaxed LuPaAgGe crystal, computed with PBE-GGA.

Lattice parameters (Å, degrees): 5.040 5.040 5.040 60.00 60.00 60.00
Sites, in units of the cell vectors:
Lu: 0.000 0.000 0.000
Pa: 0.500 0.500 0.500
Ag: 0.750 0.750 0.750
Ge: 0.250 0.250 0.250

Computed properties:
Space group: No. 216

A relaxed PmLuAgGe crystal, computed with PBE-GGA.

Lattice parameters (Å, degrees): 5.101 5.101 5.101 60.00 60.00 60.00
Sites, in units of the cell vectors:
Pm: 0.000 0.000 0.000
Lu: 0.500 0.500 0.500
Ag: 0.250 0.250 0.250
Ge: 0.750 0.750 0.750

Computed properties:
Space group: No. 216

A relaxed LuScAgGe crystal, computed with PBE-GGA.

Lattice parameters (Å, degrees): 4.890 4.890 4.890 60.00 60.00 60.00
Sites, in units of the cell vectors:
Lu: 0.000 0.000 0.000
Sc: 0.500 0.500 0.500
Ag: 0.250 0.250 0.250
Ge: 0.750 0.750 0.750

Computed properties:
Space group: No. 216

A relaxed SmLuAgGe crystal, computed with PBE-GGA.

Lattice parameters (Å, degrees): 5.086 5.086 5.086 60.00 60.00 60.00
Sites, in units of the cell vectors:
Sm: 0.000 0.000 0.000
Lu: 0.500 0.500 0.500
Ag: 0.750 0.750 0.750
Ge: 0.250 0.250 0.250

Computed properties:
Space group: No. 216

A relaxed LuThAgGe crystal, computed with PBE-GGA.

Lattice parameters (Å, degrees): 5.130 5.130 5.130 60.00 60.00 60.00
Sites, in units of the cell vectors:
Lu: 0.000 0.000 0.000
Th: 0.500 0.500 0.500
Ag: 0.750 0.750 0.750
Ge: 0.250 0.250 0.250

Computed properties:
Space group: No. 216

A relaxed TmLuAgGe crystal, computed with PBE-GGA.

Lattice parameters (Å, degrees): 5.000 5.000 5.000 60.00 60.00 60.00
Sites, in units of the cell vectors:
Tm: 0.000 0.000 0.000
Lu: 0.500 0.500 0.500
Ag: 0.750 0.750 0.750
Ge: 0.250 0.250 0.250

Computed properties:
Space group: No. 216

Number 1: calculated formation energy -0.6070 eV/atom, VASP energy -4.60 eV per atom. Number 2: calculated formation energy -0.4725 eV/atom, VASP energy -4.47 eV per atom. Number 3: calculated formation energy -0.2746 eV/atom, VASP energy -3.98 eV per atom. Number 4: calculated formation energy -0.3624 eV/atom, VASP energy -4.51 eV per atom. Number 5: calculated formation energy -0.2644 eV/atom, VASP energy -3.59 eV per atom. Number 6: calculated formation energy -0.4881 eV/atom, VASP energy -4.68 eV per atom. Number 7: calculated formation energy -0.1584 eV/atom, VASP energy -5.53 eV per atom. Number 8: calculated formation energy -0.4967 eV/atom, VASP energy -4.68 eV per atom. Number 9: calculated formation energy -0.4933 eV/atom, VASP energy -5.07 eV per atom. Number 10: calculated formation energy -0.4988 eV/atom, VASP energy -4.68 eV per atom. Number 11: calculated formation energy -0.3638 eV/atom, VASP energy -5.22 eV per atom. Number 12: calculated formation energy -0.4977 eV/atom, VASP energy -4.61 eV per atom.